# PBE-GGA NdEr2Mg4, optimized geometry
data_NdEr2Mg4
_symmetry_space_group_name_H-M 'P 1'
_symmetry_Int_Tables_number 1
_symmetry_space_group_name_Hall 'P 1'
_cell_length_a 7.106
_cell_length_b 7.106
_cell_length_c 5.501
_cell_angle_alpha 90.00
_cell_angle_beta 90.00
_cell_angle_gamma 130.31
loop_
_atom_site_label
_atom_site_fract_x
_atom_site_fract_y
_atom_site_fract_z
Nd1 0.000 0.000 0.000
Er1 0.369 0.631 0.500
Er2 0.631 0.369 0.500
Mg1 0.123 0.877 0.500
Mg2 0.252 0.748 0.000
Mg3 0.748 0.252 0.000
Mg4 0.877 0.123 0.500
# **Total energy**: -17.70 eV for the cell shown
# **M_tot**: 0.00 μB/cell
# **E_form**: 368 meV per atom